Material: ZrBr
Method: DFT, SCAN
State: PBEsol geometry

Computed properties:
For the mass density, the calculation gives 5.40 g/cm³. The calculation puts the formation energy without anion corrections at -657 meV per atom. Its space-group type is No. 129. Its total magnetic moment is 0.000 μB/atom.

a b c (Å): 4.0353 4.0353 6.4680
angles (deg): 90.00 90.00 90.00
Fractional coordinates of all 4 atoms:
Br1 0.5000 0.0000 0.3013
Br2 0.0000 0.5000 0.6987
Zr1 0.5000 0.5000 0.0000
Zr2 0.0000 0.0000 0.0000

Material: ZrBr
Method: DFT, SCAN
State: PBEsol geometry

Computed properties:
For the mass density, the calculation gives 6.80 g/cm³. The calculation puts the formation energy without anion corrections at -400 meV per atom. Its space-group type is No. 74. Its total magnetic moment is 0.000 μB/atom.

a b c (Å): 3.2513 4.7561 6.1261
angles (deg): 112.84 105.39 90.00
Fractional coordinates of all 4 atoms:
Br1 0.1048 0.8548 0.2096
Br2 0.8952 0.1452 0.7904
Zr1 0.6097 0.3597 0.2194
Zr2 0.3903 0.6403 0.7806

Material: ZrBr
Method: DFT, SCAN
State: PBEsol geometry

Computed properties:
For the mass density, the calculation gives 5.72 g/cm³. The calculation puts the formation energy without anion corrections at -1128 meV per atom. Its space-group type is No. 12. Its total magnetic moment is 0.000 μB/atom.

a b c (Å): 3.4736 3.4736 9.7161
angles (deg): 90.06 100.23 120.02
Fractional coordinates of all 4 atoms:
Zr1 0.0847 0.2921 0.3769
Zr2 0.9153 0.7079 0.6231
Br1 0.2872 0.8928 0.1800
Br2 0.7128 0.1072 0.8200

Material: Zr4Br
Method: DFT, SCAN
State: PBEsol geometry

Computed properties:
For the mass density, the calculation gives 6.29 g/cm³. The calculation puts the formation energy without anion corrections at 512 meV per atom. Its space-group type is No. 229. Its total magnetic moment is 0.000 μB/atom.

a b c (Å): 5.3434 5.3434 5.3434
angles (deg): 109.47 109.47 109.47
Fractional coordinates of all 5 atoms:
Br1 0.0000 0.0000 0.0000
Zr1 0.0000 0.0000 0.5000
Zr2 0.0000 0.5000 0.0000
Zr3 0.5000 0.0000 0.0000
Zr4 0.5000 0.5000 0.5000

Material: ZrBr
Method: DFT, SCAN
State: PBEsol geometry

Computed properties:
For the mass density, the calculation gives 5.67 g/cm³. The calculation puts the formation energy without anion corrections at -1127 meV per atom. Its space-group type is No. 12. Its total magnetic moment is 0.000 μB/atom.

a b c (Å): 3.4726 3.4726 10.1194
angles (deg): 73.94 73.94 60.07
Fractional coordinates of all 4 atoms:
Br1 0.1709 0.1709 0.6827
Br2 0.8291 0.8291 0.3173
Zr1 0.2676 0.2676 0.1221
Zr2 0.7324 0.7324 0.8779

Material: ZrBr4
Method: DFT, SCAN
State: PBEsol geometry

Computed properties:
For the mass density, the calculation gives 4.92 g/cm³. The calculation puts the formation energy without anion corrections at -359 meV per atom. Its space-group type is No. 139. Its total magnetic moment is 0.122 μB/atom.

a b c (Å): 3.6710 3.6710 10.6114
angles (deg): 99.96 99.96 90.00
Fractional coordinates of all 5 atoms:
Br1 0.7500 0.2500 0.5000
Br2 0.2500 0.7500 0.5000
Br3 0.5767 0.5767 0.1534
Br4 0.4233 0.4233 0.8466
Zr1 0.0000 0.0000 0.0000

Material: C
Method: DFT, SCAN
State: PBEsol geometry

Computed properties:
For the mass density, the calculation gives 0.61 g/cm³. Its space-group type is No. 164. Its total magnetic moment is 0.000 μB/atom. For the formation enthalpy at 0 K, the calculation gives 0.009 eV/atom.

a b c (Å): 2.4613 2.4613 25.1063
angles (deg): 90.00 90.00 120.00
Fractional coordinates of all 4 atoms:
C1 0.0000 0.0000 0.4291
C2 0.0000 0.0000 0.5709
C3 0.6667 0.3333 0.5710
C4 0.3333 0.6667 0.4290

Material: C
Method: DFT, SCAN
State: PBEsol geometry

Computed properties:
For the mass density, the calculation gives 3.45 g/cm³. Its space-group type is No. 65. Its total magnetic moment is 0.000 μB/atom. For the formation enthalpy at 0 K, the calculation gives 0.229 eV/atom.

a b c (Å): 2.5034 4.2358 4.8512
angles (deg): 115.89 90.00 90.00
Fractional coordinates of all 8 atoms:
C1 0.0000 0.3517 0.3333
C2 0.0000 0.6483 0.6667
C3 0.0000 0.0184 0.6667
C4 0.0000 0.9816 0.3333
C5 0.5000 0.5955 0.8215
C6 0.5000 0.4045 0.1785
C7 0.5000 0.7739 0.1785
C8 0.5000 0.2261 0.8215

Material: C
Method: DFT, SCAN
State: PBEsol geometry

Computed properties:
For the mass density, the calculation gives 1.77 g/cm³. Its space-group type is No. 65. Its total magnetic moment is 0.000 μB/atom. For the formation enthalpy at 0 K, the calculation gives 0.992 eV/atom.

a b c (Å): 3.6648 3.6648 6.7377
angles (deg): 90.00 90.00 96.07
Fractional coordinates of all 8 atoms:
C1 0.8738 0.1262 0.8191
C2 0.1262 0.8738 0.8191
C3 0.8738 0.1262 0.1809
C4 0.1262 0.8738 0.1809
C5 0.5000 0.0000 0.8986
C6 0.0000 0.5000 0.1014
C7 0.5000 0.0000 0.1014
C8 0.0000 0.5000 0.8986

Material: C
Method: DFT, SCAN
State: PBEsol geometry

Computed properties:
For the mass density, the calculation gives 3.55 g/cm³. Its space-group type is No. 227. Its total magnetic moment is 0.000 μB/atom. For the formation enthalpy at 0 K, the calculation gives 0.085 eV/atom.

a b c (Å): 2.5151 2.5151 2.5151
angles (deg): 60.00 60.00 60.00
Fractional coordinates of all 2 atoms:
C1 0.2500 0.2500 0.2500
C2 0.0000 0.0000 0.0000

Material: C
Method: DFT, SCAN
State: PBEsol geometry

Computed properties:
For the mass density, the calculation gives 1.98 g/cm³. Its space-group type is No. 191. Its total magnetic moment is 0.000 μB/atom. For the formation enthalpy at 0 K, the calculation gives 0.006 eV/atom.

a b c (Å): 2.4612 2.4612 3.8358
angles (deg): 90.00 90.00 120.00
Fractional coordinates of all 2 atoms:
C1 0.3333 0.6667 0.0000
C2 0.6667 0.3333 0.0000

Material: C
Method: DFT, SCAN
State: PBEsol geometry

Computed properties:
For the mass density, the calculation gives 2.10 g/cm³. Its space-group type is No. 69. Its total magnetic moment is 0.000 μB/atom. For the formation enthalpy at 0 K, the calculation gives 0.002 eV/atom.

a b c (Å): 2.4618 2.4612 3.8162
angles (deg): 80.72 71.18 59.99
Fractional coordinates of all 2 atoms:
C1 0.6667 0.6666 0.0000
C2 0.3333 0.3334 0.0000